i:
VASP calculation (PBE-GGA) on crystalline Na2GeI4 at its relaxed geometry.

Its calculated volume is 49.3 A^3/atom.

The space group is I-42m (No. 121) and the conventional cell measures 7.522, 7.522 and 12.196 Å, with angles of 90.00, 90.00 and 90.00 degrees. Symmetry generates all atoms from Na at (0.000, 0.500, 0.250), Ge at (0.000, 0.000, 0.000) and I at (0.237, 0.237, 0.118).

---

ii:
VASP calculation (PBE-GGA) on crystalline Na2GeI4 at its relaxed geometry.

Its calculated volume is 40.5 A^3/atom.

The space group is I4/mmm (No. 139) and the conventional cell measures 5.903, 5.903 and 16.275 Å, with angles of 90.00, 90.00 and 90.00 degrees. Symmetry generates all atoms from Na at (0.000, 0.000, 0.131), Ge at (0.000, 0.000, 0.500), I at (0.000, 0.000, 0.318) and I at (0.000, 0.500, 0.000).

---

iii:
VASP calculation (PBE-GGA) on crystalline Na2GeI4 at its relaxed geometry.

Its calculated volume is 40.3 A^3/atom.

The space group is P4_122 (No. 91) and the conventional cell measures 9.334, 9.334 and 12.944 Å, with angles of 90.00, 90.00 and 90.00 degrees. Symmetry generates all atoms from Na at (0.000, 0.257, 0.000), Na at (0.248, 0.248, 0.375), Ge at (0.249, 0.500, 0.750), I at (0.033, 0.266, 0.749) and I at (0.261, 0.486, 0.985).

---

In terms of stability, iii leads; the second structure lies 5.8 kJ/mol of atoms higher.

---

i:
VASP calculation (PBE-GGA) on crystalline NaGeTeI2 at its relaxed geometry.

Its calculated volume is 37.0 A^3/atom.

The space group is P4/mmm (No. 123) and the conventional cell measures 5.659, 5.659 and 5.779 Å, with angles of 90.00, 90.00 and 90.00 degrees. Symmetry generates all atoms from Na at (0.000, 0.000, 0.000), Ge at (0.500, 0.500, 0.500), Te at (0.000, 0.000, 0.500) and I at (0.000, 0.500, 0.000).

---

ii:
VASP calculation (PBE-GGA) on crystalline NaGeTeI2 at its relaxed geometry.

Its calculated volume is 38.5 A^3/atom.

The space group is P4/mmm (No. 123) and the conventional cell measures 5.894, 5.894 and 5.540 Å, with angles of 90.00, 90.00 and 90.00 degrees. Symmetry generates all atoms from Na at (0.000, 0.000, 0.000), Ge at (0.500, 0.500, 0.500), Te at (0.500, 0.500, 0.000) and I at (0.000, 0.500, 0.500).

---

In terms of stability, ii leads; the second structure lies 59.3 kJ/mol of atoms higher.

---

i:
VASP calculation (PBE-GGA) on crystalline NaGeTe2I at its relaxed geometry.

Its calculated volume is 36.3 A^3/atom.

The space group is P4/mmm (No. 123) and the conventional cell measures 5.474, 5.474 and 6.065 Å, with angles of 90.00, 90.00 and 90.00 degrees. Symmetry generates all atoms from Na at (0.000, 0.000, 0.000), Ge at (0.500, 0.500, 0.500), Te at (0.000, 0.500, 0.500) and I at (0.500, 0.500, 0.000).

---

ii:
VASP calculation (PBE-GGA) on crystalline NaGeTe2I at its relaxed geometry.

Its calculated volume is 34.9 A^3/atom.

The space group is P4/mmm (No. 123) and the conventional cell measures 5.536, 5.536 and 5.690 Å, with angles of 90.00, 90.00 and 90.00 degrees. Symmetry generates all atoms from Na at (0.000, 0.000, 0.000), Ge at (0.500, 0.500, 0.500), Te at (0.000, 0.500, 0.000) and I at (0.000, 0.000, 0.500).

---

In terms of stability, i leads; the second structure lies 63.0 kJ/mol of atoms higher.